Compound: AlZnCoF6
Source: Alexandria via LeMat-Bulk
Functional: PBE+U
Structure: relaxed

Its total energy is -0.1789 hartree per atom.

Cell lengths 5.1669, 5.1669, 8.8970 Å; angles 90.00, 90.00, 120.00 degrees
With the nearest neighbours (Å) after each atom.
Atoms (fractional coordinates):
Al  0.6667  0.3333  0.2500  6 F 1.85
Al  0.3333  0.6667  0.7500  6 F 1.85
Zn  0.0000  0.0000  0.0000  6 F 2.11
Zn  0.0000  0.0000  0.5000  6 F 2.11
Co  0.3333  0.6667  0.2500  6 F 2.19
Co  0.6667  0.3333  0.7500  6 F 2.19
F  0.6889  0.6362  0.1307  1 Al 1.85
F  0.9473  0.3111  0.1307  1 Al 1.85
F  0.3111  0.9473  0.6307  1 Al 1.85
F  0.0527  0.6889  0.8693  1 Al 1.85
F  0.3638  0.3111  0.3693  1 Al 1.85
F  0.9473  0.6362  0.3693  1 Al 1.85
F  0.6362  0.9473  0.8693  1 Al 1.85
F  0.6889  0.0527  0.3693  1 Al 1.85
F  0.0527  0.3638  0.6307  1 Al 1.85
F  0.3638  0.0527  0.1307  1 Al 1.85
F  0.6362  0.6889  0.6307  1 Al 1.85
F  0.3111  0.3638  0.8693  1 Al 1.85